1.
An optimized crystal structure of Ac3Sm7Dy2, computed with GGA-PBE.

The structure belongs to space group Cmmm (No. 65); the cell edges are 5.938, 39.524 and 3.723 Å and the angles 90.00°, 90.00° and 90.00°. Symmetry generates all atoms from Ac at (0.000, 0.000, 0.000), Ac at (0.000, 0.316, 0.500), Sm at (0.000, 0.075, 0.500), Sm at (0.000, 0.230, 0.000), Sm at (0.000, 0.410, 0.000), Sm at (0.000, 0.500, 0.500) and Dy at (0.000, 0.147, 0.000).

For the formation energy, the calculation gives 0.12 eV per atom. The density of states at the Fermi level comes out at 1.62 states/eV/atom. Its electronic total energy is -106.2 eV/cell. As for the crystal system: orthorhombic. For the total magnetization, the calculation gives 0.00 μB per formula unit. The calculated volume is 36.41 Å³ per atom.



2.
An optimized crystal structure of Ho8Pb3CS3, computed with GGA-PBE.

The structure belongs to space group C2/m (No. 12); the cell edges are 13.215, 7.607 and 8.901 Å and the angles 90.00°, 119.79° and 90.00°. Symmetry generates all atoms from Ho at (0.015, 0.230, 0.315), Ho at (0.215, 0.000, 0.685), Ho at (0.233, 0.500, 0.698), Pb at (0.000, 0.000, 0.000), Pb at (0.250, 0.250, 0.000), C at (0.000, 0.000, 0.500), S at (0.000, 0.500, 0.500) and S at (0.250, 0.250, 0.500).

The density of states at the Fermi level comes out at 0.53 states/eV/atom. Its electronic total energy is -169.4 eV/cell. As for the crystal system: monoclinic. For the total magnetization, the calculation gives 0.00 μB per formula unit. The energy relative to the elements, uncorrected comes out at -15.3 eV per formula unit. The calculated volume is 25.88 Å³ per atom.



3.
An optimized crystal structure of Tb4Ho4In, computed with GGA-PBE.

The structure belongs to space group I4/mmm (No. 139); the cell edges are 10.577, 10.577 and 4.884 Å and the angles 90.00°, 90.00° and 90.00°. Symmetry generates all atoms from Tb at (0.000, 0.334, 0.000), Ho at (0.161, 0.161, 0.500) and In at (0.000, 0.000, 0.000).

For the formation energy, the calculation gives -0.08 eV per atom. The density of states at the Fermi level comes out at 1.50 states/eV/atom. Its electronic total energy is -80.5 eV/cell. As for the crystal system: tetragonal. For the total magnetization, the calculation gives 0.00 μB per formula unit. The calculated volume is 30.36 Å³ per atom.



4.
An optimized crystal structure of ZrBRu3, computed with GGA-PBE.

The structure belongs to space group P1 (No. 1); the cell edges are 4.853, 5.421 and 5.766 Å and the angles 75.18°, 73.27° and 80.01°. Symmetry generates all atoms from Zr at (0.000, 0.000, 0.000), Zr at (0.090, 0.544, 0.596), B at (0.409, 0.064, 0.149), B at (0.414, 0.053, 0.624), Ru at (0.032, 0.066, 0.483), Ru at (0.083, 0.479, 0.105), Ru at (0.559, 0.311, 0.788), Ru at (0.570, 0.326, 0.281), Ru at (0.583, 0.766, 0.910) and Ru at (0.606, 0.775, 0.403).

For the formation energy, the calculation gives -0.32 eV per atom. The density of states at the Fermi level comes out at 0.87 states/eV/atom. Its electronic total energy is -89.3 eV/cell. As for the crystal system: triclinic. For the total magnetization, the calculation gives 0.00 μB per formula unit. The calculated volume is 13.96 Å³ per atom.



5.
An optimized crystal structure of Ga2AgPd2, computed with GGA-PBE.

The structure belongs to space group P4/mbm (No. 127); the cell edges are 7.432, 7.432 and 2.902 Å and the angles 90.00°, 90.00° and 90.00°. Symmetry generates all atoms from Ga at (0.159, 0.341, 0.000), Ag at (0.000, 0.000, 0.500) and Pd at (0.139, 0.639, 0.500).

For the formation energy, the calculation gives -0.44 eV per atom. The density of states at the Fermi level comes out at 0.44 states/eV/atom. Its electronic total energy is -42.9 eV/cell. As for the crystal system: tetragonal. For the total magnetization, the calculation gives 0.00 μB per formula unit. As for the offset from the most stable computed form: 32 meV per atom. The calculated volume is 16.03 Å³ per atom.



6.
An optimized crystal structure of K2BaCoRu, computed with GGA-PBE.

The structure belongs to space group P4/mmm (No. 123); the cell edges are 6.051, 6.051 and 4.565 Å and the angles 90.00°, 90.00° and 90.00°. Symmetry generates all atoms from K at (0.000, 0.500, 0.000), Ba at (0.000, 0.000, 0.500), Co at (0.500, 0.500, 0.000) and Ru at (0.500, 0.500, 0.500).

For the formation energy, the calculation gives 0.95 eV per atom. The density of states at the Fermi level comes out at 1.55 states/eV/atom. Its electronic total energy is -15.7 eV/cell. As for the crystal system: tetragonal. For the total magnetization, the calculation gives 2.34 μB per formula unit. The calculated volume is 33.43 Å³ per atom.



7.
An optimized crystal structure of Pr5Y3Er, computed with GGA-PBE.

The structure belongs to space group C2/m (No. 12); the cell edges are 15.415, 11.825 and 9.974 Å and the angles 90.00°, 129.52° and 90.00°. Symmetry generates all atoms from Pr at (0.000, 0.248, 0.000), Pr at (0.149, 0.247, 0.738), Pr at (0.226, 0.500, 0.049), Pr at (0.229, 0.000, 0.238), Y at (0.000, 0.000, 0.500), Y at (0.000, 0.500, 0.000), Y at (0.007, 0.000, 0.825), Y at (0.014, 0.500, 0.351) and Er at (0.249, 0.000, 0.593).

For the formation energy, the calculation gives 0.48 eV per atom. The density of states at the Fermi level comes out at 1.63 states/eV/atom. Its electronic total energy is -174.1 eV/cell. As for the crystal system: monoclinic. For the total magnetization, the calculation gives 0.00 μB per formula unit. The calculated volume is 38.96 Å³ per atom.



8.
An optimized crystal structure of Ca2NiIrN, computed with GGA-PBE.

The structure belongs to space group P4/mmm (No. 123); the cell edges are 4.983, 4.983 and 3.757 Å and the angles 90.00°, 90.00° and 90.00°. Symmetry generates all atoms from Ca at (0.000, 0.500, 0.000), Ni at (0.000, 0.000, 0.500), Ir at (0.500, 0.500, 0.500) and N at (0.500, 0.500, 0.000).

The density of states at the Fermi level comes out at 0.60 states/eV/atom. Its electronic total energy is -28.7 eV/cell. As for the crystal system: tetragonal. For the total magnetization, the calculation gives 0.46 μB per formula unit. The energy relative to the elements, uncorrected comes out at -1.7 eV per formula unit. The calculated volume is 18.66 Å³ per atom.



9.
An optimized crystal structure of Cs2GaCoI6, computed with GGA-PBE.

The structure belongs to space group I4/mmm (No. 139); the cell edges are 8.194, 8.194 and 11.579 Å and the angles 90.00°, 90.00° and 90.00°. Symmetry generates all atoms from Cs at (0.000, 0.500, 0.250), Ga at (0.000, 0.000, 0.000), Co at (0.000, 0.000, 0.500), I at (0.000, 0.000, 0.269) and I at (0.231, 0.231, 0.500).

The density of states at the Fermi level comes out at 0.00 states/eV/atom. Its electronic total energy is -56.3 eV/cell. As for the crystal system: tetragonal. For the total magnetization, the calculation gives 0.00 μB per formula unit. The energy relative to the elements, uncorrected comes out at -7.0 eV per formula unit. The calculated volume is 38.87 Å³ per atom.



10.
An optimized crystal structure of Hf2CuGe2, computed with GGA-PBE.

The structure belongs to space group I4/mmm (No. 139); the cell edges are 3.551, 3.551 and 14.997 Å and the angles 90.00°, 90.00° and 90.00°. Symmetry generates all atoms from Hf at (0.000, 0.000, 0.102), Cu at (0.000, 0.000, 0.500) and Ge at (0.000, 0.500, 0.250).

For the formation energy, the calculation gives -0.03 eV per atom. The density of states at the Fermi level comes out at 0.89 states/eV/atom. Its electronic total energy is -66.7 eV/cell. As for the crystal system: tetragonal. For the total magnetization, the calculation gives 0.00 μB per formula unit. The calculated volume is 18.91 Å³ per atom.



11.
An optimized crystal structure of ZnPCS2, computed with GGA-PBE.

The structure belongs to space group P4/mmm (No. 123); the cell edges are 4.625, 4.625 and 4.623 Å and the angles 90.00°, 90.00° and 90.00°. Symmetry generates all atoms from Zn at (0.000, 0.000, 0.000), P at (0.000, 0.000, 0.500), C at (0.500, 0.500, 0.500) and S at (0.000, 0.500, 0.000).

The density of states at the Fermi level comes out at 1.05 states/eV/atom. Its electronic total energy is -13.8 eV/cell. As for the crystal system: tetragonal. For the total magnetization, the calculation gives 0.04 μB per formula unit. The energy relative to the elements, uncorrected comes out at 10.4 eV per formula unit. As for the offset from the most stable computed form: 998 meV per atom. The calculated volume is 19.78 Å³ per atom.



12.
An optimized crystal structure of PmYCuSi, computed with GGA-PBE.

The structure belongs to space group F-43m (No. 216); the cell edges are 7.087, 7.087 and 7.087 Å and the angles 90.00°, 90.00° and 90.00°. Symmetry generates all atoms from Pm at (0.000, 0.000, 0.000), Y at (0.000, 0.000, 0.500), Cu at (0.250, 0.250, 0.250) and Si at (0.250, 0.250, 0.750).

The density of states at the Fermi level comes out at 0.76 states/eV/atom. Its electronic total energy is -89.5 eV/cell. As for the crystal system: cubic. For the total magnetization, the calculation gives 0.00 μB per formula unit. The energy relative to the elements, uncorrected comes out at -1.6 eV per formula unit. As for the offset from the most stable computed form: 95 meV per atom. The calculated volume is 22.25 Å³ per atom.



Look up the calculated volume of the seventh one.
38.96 Å³ per atom